! PBE CrBr, relaxed; values from VASP
&SYSTEM
  ibrav = 0, nat = 2, ntyp = 2
/
ATOMIC_SPECIES
Br 79.90 Br.upf
Cr 52.00 Cr.upf
CELL_PARAMETERS angstrom
3.873 0.000 0.000
-1.936 3.354 0.000
0.000 0.000 3.698
ATOMIC_POSITIONS crystal
Br 0.000 0.000 0.000
Cr 0.667 0.333 0.500
! - Volume: 24.01 Å³ per atom
! - Density: 4.56 g/cm³
! - Raw formation energy: 246 meV/atom
! - Space-group type: P-6m2



! PBE Zn8Ga2Ag, relaxed; values from VASP
&SYSTEM
  ibrav = 0, nat = 11, ntyp = 3
/
ATOMIC_SPECIES
Zn 65.41 Zn.upf
Ga 69.72 Ga.upf
Ag 107.87 Ag.upf
CELL_PARAMETERS angstrom
-2.857 1.872 -2.918
0.040 -3.602 -5.838
-4.666 -5.472 -0.686
ATOMIC_POSITIONS crystal
Zn 0.295 0.406 0.000
Zn 0.500 0.213 0.574
Zn 0.845 0.315 0.782
Zn 0.845 0.097 0.218
Zn 0.155 0.903 0.782
Zn 0.500 0.787 0.426
Zn 0.155 0.685 0.218
Zn 0.705 0.594 0.000
Ga 0.000 0.696 0.608
Ga 0.000 0.304 0.392
Ag 0.500 0.000 0.000
! - Volume: 16.81 Å³ per atom
! - Density: 6.92 g/cm³
! - ΔE_f: 0.078 eV/atom
! - Space-group type: C2/m



! PBE PmLu2Sb, relaxed; values from VASP
&SYSTEM
  ibrav = 0, nat = 4, ntyp = 3
/
ATOMIC_SPECIES
Lu 174.97 Lu.upf
Pm 145.00 Pm.upf
Sb 121.76 Sb.upf
CELL_PARAMETERS angstrom
4.729 0.000 0.000
0.000 4.790 0.000
0.000 0.000 4.790
ATOMIC_POSITIONS crystal
Lu 0.000 0.500 0.000
Lu 0.000 0.000 0.500
Pm 0.500 0.000 0.000
Sb 0.500 0.500 0.500
! - Volume: 27.12 Å³ per atom
! - Density: 9.44 g/cm³
! - Raw formation energy: -443 meV/atom
! - Space-group type: P4/mmm



! PBE Hf3IrW, relaxed; values from VASP
&SYSTEM
  ibrav = 0, nat = 5, ntyp = 3
/
ATOMIC_SPECIES
Hf 178.49 Hf.upf
W 183.84 W.upf
Ir 192.22 Ir.upf
CELL_PARAMETERS angstrom
4.928 0.000 0.000
0.000 4.928 0.000
0.000 0.000 4.928
ATOMIC_POSITIONS crystal
Hf 0.500 0.000 0.000
Hf 0.000 0.500 0.000
Hf 0.000 0.000 0.500
W 0.000 0.000 0.000
Ir 0.500 0.500 0.500
! - Volume: 23.94 Å³ per atom
! - Density: 12.64 g/cm³
! - ΔE_f: 1.162 eV/atom
! - Space-group type: Pm-3m



! PBE Sc5AlHg4, relaxed; values from VASP
&SYSTEM
  ibrav = 0, nat = 10, ntyp = 3
/
ATOMIC_SPECIES
Al 26.98 Al.upf
Sc 44.96 Sc.upf
Hg 200.59 Hg.upf
CELL_PARAMETERS angstrom
-1.710 0.958 2.904
-1.972 -2.888 -0.208
11.609 -8.628 9.681
ATOMIC_POSITIONS crystal
Al 0.000 0.000 0.000
Sc 0.500 0.500 0.704
Sc 0.500 0.500 0.906
Sc 0.500 0.500 0.094
Sc 0.500 0.500 0.500
Sc 0.500 0.500 0.296
Hg 0.000 0.000 0.602
Hg 0.000 0.000 0.807
Hg 0.000 0.000 0.398
Hg 0.000 0.000 0.193
! - Volume: 21.36 Å³ per atom
! - Density: 8.20 g/cm³
! - ΔE_f: -0.424 eV/atom
! - Space-group type: P4/mmm



! PBE Pm4Pr5Ho, relaxed; values from VASP
&SYSTEM
  ibrav = 0, nat = 10, ntyp = 3
/
ATOMIC_SPECIES
Pr 140.91 Pr.upf
Pm 145.00 Pm.upf
Ho 164.93 Ho.upf
CELL_PARAMETERS angstrom
-2.707 5.634 -0.813
-8.104 -0.455 -0.598
-1.947 3.605 7.033
ATOMIC_POSITIONS crystal
Pr 0.690 0.000 0.000
Pr 0.156 0.000 0.622
Pr 0.156 0.622 0.000
Pr 0.778 0.000 0.378
Pr 0.777 0.378 0.000
Pm 0.432 0.675 0.325
Pm 0.757 0.675 0.675
Pm 0.107 0.325 0.325
Pm 0.432 0.325 0.675
Ho 0.226 0.000 0.000
! - Volume: 35.50 Å³ per atom
! - Density: 6.78 g/cm³
! - ΔE_f: 0.229 eV/atom
! - Space-group type: I4mm